VASP calculation (GGA-PBE) on a relaxed structure of SrSb2Ru2.

The calculation puts the raw formation energy at -232 meV/atom. The crystal system is tetragonal.

The space group is I4/mmm (No. 139) and the conventional cell measures 4.755, 4.755 and 9.966 Å, with angles of 90.00, 90.00 and 90.00 degrees. Symmetry generates all atoms from Sr at (0.000, 0.000, 0.000), Sb at (0.000, 0.500, 0.250) and Ru at (0.000, 0.000, 0.378).